VASP calculation (GGA-PBE) on an optimized crystal structure of Cs2B2SbS6.

Cell: 6.698 6.697 8.923 Å, 111.89 90.00 120.00°
Element x y z (fractional)
Cs 0.709 0.418 0.128
Cs 0.291 0.582 0.872
B 0.898 0.795 0.692
B 0.102 0.205 0.308
Sb 0.500 0.000 0.500
S 0.750 0.501 0.720
S 0.249 0.029 0.279
S 0.220 0.971 0.721
S 0.751 0.971 0.721
S 0.780 0.029 0.279
S 0.250 0.499 0.280

---

VASP calculation (GGA-PBE) on an optimized crystal structure of CsB2Sb2S6.

Cell: 8.412 7.614 8.105 Å, 117.53 89.65 56.77°
Element x y z (fractional)
Cs 0.500 0.000 0.500
B 0.141 0.723 0.778
B 0.859 0.277 0.222
Sb 0.830 0.340 0.889
Sb 0.170 0.660 0.111
S 0.352 0.664 0.872
S 0.012 0.340 0.130
S 0.081 0.843 0.624
S 0.988 0.660 0.870
S 0.919 0.157 0.376
S 0.648 0.336 0.128

---

VASP calculation (GGA-PBE) on an optimized crystal structure of CsSm2B2S6.

Cell: 7.226 7.432 7.469 Å, 115.20 89.99 60.93°
Element x y z (fractional)
Cs 0.500 0.000 0.500
Sm 0.828 0.343 0.829
Sm 0.172 0.657 0.171
B 0.150 0.700 0.759
B 0.850 0.300 0.241
S 0.394 0.644 0.854
S 0.037 0.357 0.146
S 0.073 0.854 0.609
S 0.963 0.643 0.854
S 0.927 0.146 0.391
S 0.606 0.356 0.146

---

VASP calculation (GGA-PBE) on an optimized crystal structure of Cs2SmB2S6.

Cell: 6.844 6.845 8.936 Å, 112.48 90.00 119.99°
Element x y z (fractional)
Cs 0.709 0.419 0.128
Cs 0.291 0.581 0.872
Sm 0.500 0.000 0.500
B 0.904 0.808 0.711
B 0.096 0.192 0.289
S 0.755 0.511 0.724
S 0.244 0.030 0.275
S 0.214 0.970 0.725
S 0.756 0.970 0.725
S 0.786 0.030 0.275
S 0.245 0.489 0.276

---

Number 1: ΔE_f (raw) -0.535 eV/atom, DFT total energy -49.84 eV per formula unit, magnetic moment 0.0 μB per formula unit. Number 2: ΔE_f (raw) -0.377 eV/atom, DFT total energy -51.36 eV per formula unit, magnetic moment 0.9 μB per formula unit. Number 3: ΔE_f (raw) -1.100 eV/atom, DFT total energy -60.51 eV per formula unit, magnetic moment 0.0 μB per formula unit. Number 4: ΔE_f (raw) -0.979 eV/atom, DFT total energy -55.31 eV per formula unit, magnetic moment 0.0 μB per formula unit.